# PrMnSe2O8

An optimized crystal structure of PrMnSe2O8 (PBE with a Hubbard U, the Alexandria database).

Results
* calculated total energy: -6.23 eV/atom

The structure in CIF format:
```
data_PrMnSe2O8
_space_group_name_H-M_alt 'P -3 m 1'
_space_group_IT_number 164
_space_group_name_Hall '-P 3 2"'
_cell_length_a 5.6132
_cell_length_b 5.6132
_cell_length_c 7.0220
_cell_angle_alpha 90.00
_cell_angle_beta 90.00
_cell_angle_gamma 120.00
loop_
_atom_site_label
_atom_site_type_symbol
_atom_site_fract_x
_atom_site_fract_y
_atom_site_fract_z
Pr1 Pr 0.0000 0.0000 0.0000
Mn1 Mn 0.0000 0.0000 0.5000
Se1 Se 0.3333 0.6667 0.2232
O1 O 0.1581 0.3162 0.2825
O2 O 0.3333 0.6667 0.9836
```